# 1
Gd2CuPt | PBE | optimized geometry

Computed properties:
- Formation energy from the elements: -0.705 eV/atom
- Total moment: 14.3 Bohr magnetons per cell
- DOS at the Fermi energy: 3.16 states/eV/cell

a = 3.5239 Å, b = 4.9783 Å, c = 4.9783 Å
α = 90.00°, β = 90.00°, γ = 90.00°
Site moments in Bohr magnetons follow the coordinates.
Atoms (fractional coordinates):
Gd: 0.0000 0.5000 0.0000  7.02
Cu: 0.5000 0.5000 0.5000  0.02
Gd: 0.0000 0.0000 0.5000  7.02
Pt: 0.5000 0.0000 0.0000  -0.01

# 2
ZrTl2Ag | PBE | optimized geometry

Computed properties:
- Formation energy from the elements: 0.184 eV/atom
- Total moment: 0.0 Bohr magnetons per cell
- ΔE to the lowest computed polymorph: 172.8 meV per atom
- DOS at the Fermi energy: 3.33 states/eV/cell

a = 6.0921 Å, b = 6.0921 Å, c = 6.0921 Å
α = 149.68°, β = 124.22°, γ = 64.82°
Atoms (fractional coordinates):
Ag: 0.2500 0.7500 0.5000
Tl: 0.0107 0.0107 0.0000
Zr: 0.7500 0.2500 0.5000
Tl: 0.4893 0.4893 0.0000